Computed, not measured: a geometry-optimized Er6SnPd5 structure at the PBE level of DFT.

Properties
crystal system	monoclinic
formation enthalpy at 0 K	-0.857	eV per atom

Cell and atoms, written as CIF:
```
data_Er6SnPd5
_cell_length_a 4.991
_cell_length_b 7.019
_cell_length_c 7.894
_cell_angle_alpha 90.00
_cell_angle_beta 108.11
_cell_angle_gamma 90.00
_space_group_name_H-M_alt 'P 1 2/m 1'
_space_group_IT_number 10
loop_
_space_group_symop_operation_xyz
'x,y,z'
'-x,-y,-z'
'-x,y,-z'
'x,-y,z'
loop_
_atom_site_label
_atom_site_type_symbol
_atom_site_fract_x
_atom_site_fract_y
_atom_site_fract_z
Er1 Er 0.000 0.236 0.000
Er2 Er 0.327 0.246 0.657
Sn1 Sn 0.500 0.500 0.000
Pd1 Pd 0.163 0.500 0.317
Pd2 Pd 0.168 0.000 0.333
Pd3 Pd 0.500 0.000 0.000
```